A relaxed Ba2SnSbTe5 crystal. Source: Alexandria, functional GGA-PBE. Values from VASP.

## Properties
The symmetry is Cmc2_1, No. 36.

Geometry as Quantum ESPRESSO input:
```
&SYSTEM
  ibrav = 0, nat = 18, ntyp = 4
/
ATOMIC_SPECIES
Ba 137.33 Ba.upf
Sn 118.71 Sn.upf
Sb 121.76 Sb.upf
Te 127.60 Te.upf
ATOMIC_POSITIONS angstrom
Ba 2.4116 7.9823 6.9167
Ba 2.4116 7.6623 1.7225
Ba 2.4116 -7.6623 8.6392
Ba 2.4116 -7.9823 0.0000
Sn 2.4116 1.2883 3.6728
Sn 2.4116 -1.2883 10.5895
Sb 2.4116 5.8562 11.6055
Sb 2.4116 -5.8562 4.6889
Te 2.4116 9.2819 12.1980
Te 2.4116 4.5066 6.6375
Te 2.4116 3.9591 2.4924
Te 2.4116 2.9772 11.2638
Te 2.4116 0.0711 8.0670
Te 2.4116 -0.0711 1.1503
Te 2.4116 -2.9772 4.3471
Te 2.4116 -3.9591 9.4091
Te 2.4116 -4.5066 13.5542
Te 2.4116 -9.2819 5.2814
CELL_PARAMETERS angstrom
2.4116 -10.3011 0.0000
2.4116 10.3011 0.0000
0.0000 0.0000 13.8334
```

---

A relaxed BaSnSb2Te crystal. Source: Alexandria, functional GGA-PBE. Values from VASP.

## Properties
The symmetry is P4/mmm, No. 123. The value obtained for the energy above the most stable polymorph in this dataset is 434 kJ/mol of formula units.

Geometry as Quantum ESPRESSO input:
```
&SYSTEM
  ibrav = 0, nat = 5, ntyp = 4
/
ATOMIC_SPECIES
Ba 137.33 Ba.upf
Sn 118.71 Sn.upf
Sb 121.76 Sb.upf
Te 127.60 Te.upf
ATOMIC_POSITIONS angstrom
Ba 0.0000 0.0000 0.0000
Sn 3.0861 3.0861 3.1533
Sb 0.0000 3.0861 0.0000
Sb 3.0861 0.0000 0.0000
Te 0.0000 0.0000 3.1533
CELL_PARAMETERS angstrom
6.1721 0.0000 0.0000
0.0000 6.1721 0.0000
0.0000 0.0000 6.3067
```

---

A relaxed BaSnSb2Te crystal. Source: Alexandria, functional GGA-PBE. Values from VASP.

## Properties
The symmetry is P4/mmm, No. 123. The value obtained for the energy above the most stable polymorph in this dataset is 0 kJ/mol of formula units.

Geometry as Quantum ESPRESSO input:
```
&SYSTEM
  ibrav = 0, nat = 5, ntyp = 4
/
ATOMIC_SPECIES
Ba 137.33 Ba.upf
Sn 118.71 Sn.upf
Sb 121.76 Sb.upf
Te 127.60 Te.upf
ATOMIC_POSITIONS angstrom
Ba 0.0000 0.0000 0.0000
Sn 2.8524 2.8524 2.9464
Sb 0.0000 2.8524 2.9464
Sb 2.8524 0.0000 2.9464
Te 2.8524 2.8524 0.0000
CELL_PARAMETERS angstrom
5.7048 0.0000 0.0000
0.0000 5.7048 0.0000
0.0000 0.0000 5.8927
```

---

A relaxed BaTiSn2Sb crystal. Source: Alexandria, functional GGA-PBE. Values from VASP.

## Properties
The symmetry is P4/mmm, No. 123.

Geometry as Quantum ESPRESSO input:
```
&SYSTEM
  ibrav = 0, nat = 5, ntyp = 4
/
ATOMIC_SPECIES
Ba 137.33 Ba.upf
Ti 47.87 Ti.upf
Sn 118.71 Sn.upf
Sb 121.76 Sb.upf
ATOMIC_POSITIONS angstrom
Ba 0.0000 0.0000 0.0000
Ti 2.6860 2.6860 2.6840
Sn 0.0000 2.6860 2.6840
Sn 2.6860 0.0000 2.6840
Sb 2.6860 2.6860 0.0000
CELL_PARAMETERS angstrom
5.3719 0.0000 0.0000
0.0000 5.3719 0.0000
0.0000 0.0000 5.3681
```

---

| no. | formation energy without anion corrections (eV/atom) |
| --- | --- |
| 1 | -0.863 |
| 2 | 0.752 |
| 3 | -0.148 |
| 4 | -0.394 |